Density functional theory data (GGA-PBE) for a relaxed K2NaAcF8 crystal.

It has space group P-1 (No. 2), with a = 4.409 Å, b = 6.256 Å, c = 7.724 Å, α = 83.54°, β = 82.37° and γ = 87.58°. The distinct sites, in fractional coordinates, are K at (0.046, 0.047, 0.240), Na at (0.500, 0.500, 0.000), Ac at (0.500, 0.500, 0.500), F at (0.013, 0.718, 0.482), F at (0.076, 0.402, 0.934), F at (0.419, 0.230, 0.786) and F at (0.478, 0.717, 0.745).

Its uncorrected formation energy is -33.2 eV/f.u. The value obtained for the total energy is -4.65 eV per atom. For the total magnetic moment, the calculation gives 0.015 μB/atom.